<1>
A relaxed structure of PaPd4Au2, computed with PBE.

Calculated values
DOS(E_F) in states/eV per cell: 8.7
Calculated volume in Å³ per atom: 18.0

abc: 5.454 7.205 9.603
angles: 122.88 100.74 112.63
Atoms (fractional coordinates):
Pd1 0.649 0.711 0.616
Pd2 0.919 0.655 0.180
Pd3 0.834 0.274 0.827
Pd4 0.317 0.409 0.174
Pd5 0.265 0.160 0.814
Pd6 0.604 0.252 0.332
Pd7 0.156 0.538 0.697
Pd8 0.053 0.173 0.304
Au1 0.451 0.253 0.585
Au2 0.643 0.096 0.002
Au3 0.445 0.718 0.072
Au4 0.784 0.972 0.468
Pa1 0.989 0.829 0.949
Pa2 0.139 0.710 0.481

=====

<2>
A relaxed structure of PaPd4Au2, computed with PBE.

Calculated values
DOS(E_F) in states/eV per cell: 7.4
Calculated volume in Å³ per atom: 18.4

abc: 6.636 7.097 7.595
angles: 116.57 116.81 98.21
Atoms (fractional coordinates):
Pd1 0.460 0.077 0.980
Pd2 0.868 0.463 0.663
Pd3 0.491 0.651 0.746
Pd4 0.362 0.179 0.387
Pd5 0.193 0.359 0.085
Pd6 0.871 0.902 0.237
Pd7 0.998 0.354 0.337
Pd8 0.738 0.033 0.593
Au1 0.226 0.271 0.714
Au2 0.372 0.756 0.093
Au3 0.706 0.593 0.348
Au4 0.744 0.404 0.946
Pa1 0.253 0.802 0.472
Pa2 0.968 0.905 0.899

=====

Energies relative to the most stable structure, in meV/atom: <1> 0; <2> 41.

=====

<1>
A relaxed structure of Pa2Pd12Au5, computed with PBE.

Calculated values
DOS(E_F) in states/eV per cell: 8.9
Calculated volume in Å³ per atom: 17.8

abc: 7.665 10.147 6.620
angles: 107.12 117.83 113.27
Atoms (fractional coordinates):
Pd1 0.456 0.840 0.798
Pd2 0.953 0.345 0.799
Pd3 0.658 0.456 0.605
Pd4 0.843 0.046 0.398
Pd5 0.702 0.595 0.301
Pd6 0.298 0.405 0.699
Pd7 0.342 0.544 0.395
Pd8 0.544 0.160 0.202
Pd9 0.802 0.895 0.695
Pd10 0.157 0.954 0.602
Pd11 0.198 0.105 0.305
Pd12 0.047 0.655 0.201
Au1 0.111 0.800 0.884
Au2 0.614 0.312 0.905
Au3 0.386 0.688 0.095
Au4 0.500 0.000 0.500
Au5 0.889 0.200 0.116
Pa1 0.754 0.750 0.001
Pa2 0.246 0.250 0.999

=====

<2>
A relaxed structure of Pa2Pd12Au5, computed with PBE.

Calculated values
DOS(E_F) in states/eV per cell: 8.1
Calculated volume in Å³ per atom: 17.6

abc: 8.687 7.717 6.059
angles: 92.54 90.00 124.25
Atoms (fractional coordinates):
Pd1 0.943 0.379 0.194
Pd2 0.451 0.902 0.707
Pd3 0.564 0.621 0.806
Pd4 0.140 0.281 0.891
Pd5 0.436 0.379 0.194
Pd6 0.057 0.621 0.806
Pd7 0.860 0.719 0.109
Pd8 0.368 0.204 0.612
Pd9 0.836 0.204 0.612
Pd10 0.164 0.796 0.388
Pd11 0.632 0.796 0.388
Pd12 0.549 0.098 0.293
Pa1 0.234 0.000 0.000
Pa2 0.766 0.000 0.000
Au1 0.000 0.000 0.500
Au2 0.760 0.521 0.503
Au3 0.341 0.681 0.094
Au4 0.240 0.479 0.497
Au5 0.659 0.319 0.906

=====

Energies relative to the most stable structure, in meV/atom: <1> 27; <2> 0.

=====

<1>
A relaxed structure of PaPd5Au2, computed with PBE.

Calculated values
DOS(E_F) in states/eV per cell: 6.3
Calculated volume in Å³ per atom: 23.6

abc: 4.334 9.042 9.914
angles: 90.00 90.00 103.87
Atoms (fractional coordinates):
Au1 0.875 0.751 0.101
Au2 0.875 0.751 0.399
Au3 0.125 0.249 0.601
Au4 0.125 0.249 0.899
Pd1 0.968 0.935 0.882
Pd2 0.732 0.465 0.574
Pd3 0.268 0.535 0.426
Pd4 0.968 0.935 0.618
Pd5 0.744 0.488 0.250
Pd6 0.256 0.512 0.750
Pd7 0.268 0.535 0.074
Pd8 0.032 0.065 0.118
Pd9 0.732 0.465 0.926
Pd10 0.032 0.065 0.382
Pa1 0.152 0.304 0.250
Pa2 0.848 0.696 0.750

=====

<2>
A relaxed structure of PaPd5Au2, computed with PBE.

Calculated values
DOS(E_F) in states/eV per cell: 3.2
Calculated volume in Å³ per atom: 17.3

abc: 4.949 4.949 7.160
angles: 116.88 116.88 72.03
Atoms (fractional coordinates):
Pd1 0.124 0.624 0.248
Pd2 0.624 0.124 0.248
Pd3 0.500 0.500 0.000
Pd4 0.376 0.876 0.752
Pd5 0.876 0.376 0.752
Pa1 0.000 0.000 0.000
Au1 0.743 0.743 0.485
Au2 0.257 0.257 0.515

=====

Energies relative to the most stable structure, in meV/atom: <1> 497; <2> 0.

=====

<1>
A relaxed structure of PaPd6Au3, computed with PBE.

Calculated values
DOS(E_F) in states/eV per cell: 7.4
Calculated volume in Å³ per atom: 17.4

abc: 4.257 8.821 9.304
angles: 94.79 90.00 90.00
Atoms (fractional coordinates):
Pd1 0.750 0.756 0.493
Pd2 0.250 0.244 0.507
Pd3 0.750 0.951 0.096
Pd4 0.250 0.858 0.306
Pd5 0.250 0.454 0.099
Pd6 0.750 0.360 0.301
Pd7 0.750 0.840 0.799
Pd8 0.750 0.142 0.694
Pd9 0.750 0.546 0.901
Pd10 0.250 0.049 0.904
Pd11 0.250 0.640 0.699
Pd12 0.250 0.160 0.201
Au1 0.750 0.655 0.193
Au2 0.750 0.449 0.602
Au3 0.750 0.252 0.003
Au4 0.250 0.748 0.997
Au5 0.250 0.345 0.807
Au6 0.250 0.551 0.398
Pa1 0.750 0.073 0.365
Pa2 0.250 0.927 0.635

=====

<2>
A relaxed structure of PaPd6Au3, computed with PBE.

Calculated values
DOS(E_F) in states/eV per cell: 2.8
Calculated volume in Å³ per atom: 18.3

abc: 7.009 5.600 5.600
angles: 60.45 75.75 75.75
Atoms (fractional coordinates):
Au1 0.687 0.892 0.892
Au2 0.313 0.108 0.108
Au3 0.000 0.000 0.000
Pd1 0.312 0.597 0.096
Pd2 0.907 0.372 0.372
Pd3 0.093 0.628 0.628
Pd4 0.688 0.403 0.904
Pd5 0.688 0.904 0.403
Pd6 0.312 0.096 0.597
Pa1 0.500 0.500 0.500

=====

Energies relative to the most stable structure, in meV/atom: <1> 0; <2> 93.

=====

<1>
A relaxed structure of PaPd6Au2, computed with PBE.

Calculated values
DOS(E_F) in states/eV per cell: 2.9
Calculated volume in Å³ per atom: 19.0

abc: 5.619 5.619 7.060
angles: 66.55 66.55 60.00
Atoms (fractional coordinates):
Au1 0.582 0.582 0.255
Au2 0.747 0.747 0.760
Pd1 0.055 0.574 0.317
Pd2 0.055 0.055 0.317
Pd3 0.271 0.271 0.680
Pd4 0.574 0.055 0.317
Pd5 0.271 0.778 0.680
Pd6 0.778 0.271 0.680
Pa1 0.334 0.334 0.999

=====

<2>
A relaxed structure of PaPd6Au2, computed with PBE.

Calculated values
DOS(E_F) in states/eV per cell: 3.6
Calculated volume in Å³ per atom: 17.2

abc: 4.320 6.145 8.479
angles: 50.50 90.00 110.58
Atoms (fractional coordinates):
Pd1 0.995 0.990 0.177
Pd2 0.336 0.672 0.500
Pd3 0.664 0.328 0.500
Pd4 0.328 0.655 0.177
Pd5 0.005 0.010 0.823
Pd6 0.672 0.345 0.823
Au1 0.328 0.657 0.843
Au2 0.672 0.343 0.157
Pa1 0.000 0.000 0.500

=====

Energies relative to the most stable structure, in meV/atom: <1> 193; <2> 0.

=====

<1>
A relaxed structure of PaPd4Au3, computed with PBE.

Calculated values
DOS(E_F) in states/eV per cell: 4.2
Calculated volume in Å³ per atom: 18.2

abc: 4.850 5.111 6.947
angles: 113.51 110.43 90.00
Atoms (fractional coordinates):
Pd1 0.258 0.674 0.517
Pd2 0.742 0.326 0.483
Pd3 0.380 0.330 0.761
Pd4 0.620 0.670 0.239
Au1 0.852 0.936 0.704
Au2 0.000 0.500 0.000
Au3 0.148 0.064 0.296
Pa1 0.500 0.000 0.000

=====

<2>
A relaxed structure of PaPd4Au3, computed with PBE.

Calculated values
DOS(E_F) in states/eV per cell: 4.3
Calculated volume in Å³ per atom: 17.7

abc: 5.975 4.948 5.551
angles: 116.47 76.36 90.00
Atoms (fractional coordinates):
Au1 0.125 0.464 0.512
Au2 0.000 0.362 0.000
Au3 0.875 0.952 0.488
Pd1 0.624 0.465 0.500
Pd2 0.746 0.879 0.003
Pd3 0.254 0.876 0.997
Pd4 0.376 0.965 0.500
Pa1 0.500 0.384 0.000

=====

Energies relative to the most stable structure, in meV/atom: <1> 38; <2> 0.